Below is a geometry-optimized LiCa3Pt2 structure, with properties calculated at the PBE-GGA level.

Unit cell a=5.9641 b=6.1571 c=8.8280 alpha=110.41 beta=109.74 gamma=90.00
Element x y z (fractional)
Ca 0.9399 0.1802 0.3604
Ca 0.0601 0.8198 0.6396
Ca 0.5000 0.7500 0.0000
Ca 0.5795 0.3198 0.6396
Ca 0.4205 0.6802 0.3604
Ca 0.5000 0.2500 0.0000
Li 0.0000 0.7500 0.0000
Li 0.0000 0.2500 0.0000
Pt 0.3715 0.1245 0.2491
Pt 0.8776 0.6245 0.2491
Pt 0.6285 0.8755 0.7509
Pt 0.1224 0.3755 0.7509

Output
As for the density of states at the Fermi level: 4.23 states/eV per cell. The energy of formation comes out at -0.680 eV per atom. The total magnetization comes out at 0.00 μB per cell.